1.
This record from the Alexandria database describes a geometry-optimized HfI2N2 structure. The functional is PBE.

Unit cell a=5.8529 b=5.8529 c=4.0553 alpha=90.00 beta=90.00 gamma=90.00
Closest atoms and distances in Å follow each position.
Fractional positions:
1 I 0.0000 0.5000 0.0000  2 Hf 2.93
2 I 0.5000 0.0000 0.0000  2 Hf 2.93
3 N 0.5000 0.5000 0.5000  8 I 3.56
4 N 0.0000 0.0000 0.5000  2 Hf 2.03
5 Hf 0.0000 0.0000 0.0000  2 N 2.03

Output
Symmetry: P4/mmm
Polymorph energy (0 for the lowest one), eV/f.u.: 1.05
V, A^3/atom: 27.8
DFT total energy, eV for the cell shown: -25.8
DOS(E_F), states/eV/cell: 2.43
Energy relative to the elements, uncorrected, eV/f.u.: 3.9

2.
This record from the Alexandria database describes a geometry-optimized Mn5V4Re structure. The functional is PBE.

Unit cell a=2.8675 b=2.8675 c=14.6708 alpha=90.00 beta=90.00 gamma=90.00
Closest atoms and distances in Å follow each position.
Fractional positions:
1 Mn 0.5000 0.5000 0.5000  8 V 2.48
2 Mn 0.5000 0.5000 0.1111  4 V 2.46, 4 Re 2.60
3 Mn 0.5000 0.5000 0.3034  8 V 2.48-2.49
4 Mn 0.5000 0.5000 0.6966  8 V 2.48-2.49
5 Mn 0.5000 0.5000 0.8889  4 V 2.46, 4 Re 2.60
6 V 0.0000 0.0000 0.2063  8 Mn 2.46-2.48
7 V 0.0000 0.0000 0.4022  8 Mn 2.48-2.49
8 V 0.0000 0.0000 0.5978  8 Mn 2.48-2.49
9 V 0.0000 0.0000 0.7937  8 Mn 2.46-2.48
10 Re 0.0000 0.0000 0.0000  8 Mn 2.60, 4 Re 2.87

Output
Symmetry: P4/mmm
V, A^3/atom: 12.1
DFT total energy, eV for the cell shown: -96.8
Formation enthalpy at 0 K, eV per atom: -0.200
DOS(E_F), states/eV/cell: 5.80

3.
This record from the Alexandria database describes a geometry-optimized Fe2TeW structure. The functional is PBE.

Unit cell a=3.2297 b=3.2297 c=5.9185 alpha=90.00 beta=90.00 gamma=90.00
Closest atoms and distances in Å follow each position.
Fractional positions:
1 Fe 0.5000 0.5000 0.2169  4 Fe 2.57, 1 W 2.62, 4 Te 2.80
2 Fe 0.0000 0.0000 0.0187  4 Fe 2.57, 4 W 2.70, 1 Te 2.79
3 Te 0.0000 0.0000 0.4893  5 Fe 2.79-2.80, 4 W 2.84
4 W 0.5000 0.5000 0.7750  5 Fe 2.62-2.70, 4 Te 2.84

Output
Symmetry: P4mm
V, A^3/atom: 15.4
DFT total energy, eV for the cell shown: -31.2
DOS(E_F), states/eV/cell: 4.92
Energy relative to the elements, uncorrected, eV/f.u.: 1.8

4.
This record from the Alexandria database describes a geometry-optimized Mg6BC structure. The functional is PBE.

Unit cell a=6.1946 b=6.1946 c=3.6439 alpha=90.00 beta=90.00 gamma=88.70
Closest atoms and distances in Å follow each position.
Fractional positions:
1 Mg 0.7574 0.2426 0.0000  2 C 2.24
2 Mg 0.1201 0.3876 0.5000  1 B 2.50
3 Mg 0.2732 0.0376 0.0000  2 B 2.46, 1 Mg 2.75
4 Mg 0.4431 0.5569 0.0000  2 C 2.31
5 Mg 0.9624 0.7268 0.0000  2 B 2.46, 1 Mg 2.75
6 Mg 0.6124 0.8799 0.5000  1 B 2.50
7 C 0.6069 0.3931 0.5000  4 Mg 2.24-2.31
8 B 0.2244 0.7756 0.5000  8 Mg 2.46-2.63

Output
Symmetry: Amm2
Polymorph energy (0 for the lowest one), eV/f.u.: 1.25
V, A^3/atom: 17.5
DFT total energy, eV for the cell shown: -21.3
Formation enthalpy at 0 K, eV per atom: 0.520
DOS(E_F), states/eV/cell: 2.98